Entry 1:
Compound: Cs6H5Br
Source: the Alexandria database
Functional: PBE
Structure: optimized geometry

Cell and atoms, written as POSCAR:
```
Cs6H5Br
1.0
8.066 0.234 0.000
2.494 7.705 0.000
1.247 3.852 7.010
Cs H Br
6 5 1
Direct
0.272 0.264 0.000
0.728 0.736 0.000
0.257 0.552 0.359
0.257 0.911 0.641
0.743 0.448 0.641
0.743 0.089 0.359
0.500 0.500 0.000
0.500 0.836 0.328
0.000 0.331 0.337
0.000 0.669 0.663
0.500 0.164 0.672
0.000 0.000 0.000
```

Output
* VASP energy: -28.66 eV per cell



Entry 2:
Compound: Cs2HBr
Source: the Alexandria database
Functional: PBE
Structure: optimized geometry

Cell and atoms, written as POSCAR:
```
Cs2HBr
1.0
-0.808 -1.751 5.630
-4.356 -3.831 1.328
1.327 -5.576 1.601
Br H Cs
1 1 2
Direct
0.000 0.000 0.000
0.500 0.500 0.500
0.250 0.250 0.250
0.750 0.750 0.750
```

Output
* VASP energy: -10.31 eV per cell



Entry 3:
Compound: Cs2HBr3
Source: the Alexandria database
Functional: PBE
Structure: optimized geometry

Cell and atoms, written as POSCAR:
```
Cs2HBr3
1.0
-3.728 -5.963 1.954
5.737 -4.487 -0.464
3.073 -4.400 9.343
Br Cs H
6 4 2
Direct
0.739 0.261 0.750
0.261 0.739 0.250
0.279 0.189 0.519
0.189 0.279 0.019
0.811 0.721 0.981
0.721 0.811 0.481
0.156 0.632 0.643
0.632 0.156 0.143
0.844 0.368 0.357
0.368 0.844 0.857
0.888 0.112 0.750
0.112 0.888 0.250
```

Output
* VASP energy: -34.69 eV per cell



Entry 4:
Compound: CsHBr3
Source: the Alexandria database
Functional: PBE
Structure: optimized geometry

Cell and atoms, written as POSCAR:
```
CsHBr3
1.0
-0.285 -6.903 -1.707
5.567 0.846 -4.351
4.424 -1.509 5.366
H Cs Br
1 1 3
Direct
0.500 0.500 0.500
0.000 0.000 0.000
0.000 0.000 0.500
0.000 0.500 0.000
0.500 0.000 0.000
```

Output
* VASP energy: -8.04 eV per cell



Entry 5:
Compound: Cs2HBr4
Source: the Alexandria database
Functional: PBE
Structure: optimized geometry

Cell and atoms, written as POSCAR:
```
Cs2HBr4
1.0
-2.891 -4.871 2.766
3.569 -4.001 -3.314
5.350 -4.382 5.058
Br H Cs
4 1 2
Direct
0.117 0.117 0.766
0.883 0.883 0.234
0.000 0.500 0.000
0.500 0.000 0.000
0.000 0.000 0.000
0.364 0.364 0.272
0.636 0.636 0.728
```

Output
* VASP energy: -18.01 eV per cell



Entry 6:
Compound: Cs3HBr3
Source: the Alexandria database
Functional: PBE
Structure: optimized geometry

Cell and atoms, written as POSCAR:
```
Cs3HBr3
1.0
0.700 6.270 6.670
-6.326 0.914 -6.590
-5.881 -5.034 5.150
Br Cs H
6 6 2
Direct
0.511 0.511 0.253
0.177 0.823 0.000
0.165 0.835 0.500
0.835 0.165 0.500
0.823 0.177 0.000
0.489 0.489 0.747
0.502 0.877 0.745
0.498 0.123 0.255
0.123 0.498 0.255
0.102 0.102 0.767
0.877 0.502 0.745
0.898 0.898 0.233
0.282 0.282 0.193
0.718 0.718 0.807
```

Output
* VASP energy: -38.35 eV per cell